The following is a GGA-PBE calculation of a geometry-optimized Nd2DyMnSe5 structure, from Alexandria.

**Density of states at the Fermi level**: 0.332 states/eV per atom
**Formation energy without anion corrections**: -1.550 eV per atom

extended XYZ file:
```
18
Lattice="-3.019 2.610 0.831 -1.151 -6.451 6.087 7.481 6.134 7.916" Properties=species:S:1:pos:R:3 pbc="T T T"
Se 0.335 2.787 2.463
Se 1.540 2.887 6.528
Se 3.523 1.093 9.369
Se 2.979 -0.491 12.374
Se -1.167 0.417 4.455
Se 0.086 -0.023 0.386
Se 3.894 4.601 9.702
Se -1.703 -3.443 4.629
Se 1.041 -0.976 6.850
Se -0.175 -0.472 10.850
Nd 1.953 0.902 4.266
Nd 2.780 2.558 12.072
Nd 4.547 3.010 7.067
Nd -2.076 -1.406 6.877
Dy -0.787 -1.723 2.556
Dy 0.719 1.246 8.703
Mn 0.809 -1.983 9.171
Mn 5.128 6.429 8.441
```



The following is a GGA-PBE calculation of a geometry-optimized NdDyMnTl structure, from Alexandria.

**Density of states at the Fermi level**: 1.131 states/eV per atom
**Formation energy from the elements**: -0.002 eV/atom

extended XYZ file:
```
4
Lattice="-2.173 -4.699 1.158 0.751 -2.162 4.786 -4.025 -0.284 3.444" Properties=species:S:1:pos:R:3 pbc="T T T"
Nd 0.000 0.000 0.000
Mn -4.086 -5.359 7.041
Dy -2.724 -3.572 4.694
Tl -1.362 -1.786 2.347
```